Material: Cs2AlNiF6
Method: DFT, GGA+U
State: optimized geometry

Energy in eV per atom: -4.68

Cell: 6.5275 6.5275 6.0643 Å, 57.44 57.44 90.00°
With the nearest neighbours (Å) after each atom.
Positions (direct):
Cs (0.7500, 0.2500, 0.5000)  12 F 3.07-3.26
Cs (0.2500, 0.7500, 0.5000)  12 F 3.07-3.26
Ni (0.0000, 0.0000, 0.0000)  2 F 2.02
Al (0.5000, 0.5000, 0.0000)  6 F 1.83-1.92
F (0.2565, 0.2565, 0.4871)  1 Al 1.92, 1 Ni 2.02
F (0.7435, 0.7435, 0.5129)  1 Al 1.92, 1 Ni 2.02
F (0.3021, 0.3021, 0.0000)  1 Al 1.83
F (0.6979, 0.6979, 0.0000)  1 Al 1.83
F (0.6979, 0.3021, 0.0000)  1 Al 1.83
F (0.3021, 0.6979, 0.0000)  1 Al 1.83